(1)
Computed, not measured: Nb2FeAu after structural relaxation at the PBE level of DFT.

Calculated values
Final energy = -0.29522 hartree per atom
Energy of formation from the pure elements = -63 meV/atom
Calculated volume = 64 Å³/f.u.
D(E_F) = 4.19 states/eV/f.u.
Symmetry = No. 123

The structure in extended XYZ format:
```
4
Lattice="2.8381 0.0000 0.0000 0.0000 2.8381 0.0000 0.0000 0.0000 7.9776" Properties=species:S:1:pos:R:3 pbc="T T T"
Nb 0.0000 0.0000 1.7044
Nb 0.0000 0.0000 6.2733
Fe 1.4191 1.4191 0.0000
Au 1.4191 1.4191 3.9888
```

=====

(2)
Computed, not measured: Li8Cd2Ga after structural relaxation at the PBE level of DFT.

Calculated values
Final energy = -0.07149 hartree per atom
Energy of formation from the pure elements = -112 meV/atom
Calculated volume = 201 Å³/f.u.
D(E_F) = 3.97 states/eV/f.u.
Symmetry = No. 12

The structure in extended XYZ format:
```
11
Lattice="4.6669 1.2977 0.0000 2.2728 7.0221 0.0000 1.1364 3.5110 6.7543" Properties=species:S:1:pos:R:3 pbc="T T T"
Li 4.4118 2.5927 1.5051
Li 5.5482 6.1038 5.2492
Cd 1.1364 3.5110 2.5868
Li 3.4698 4.1599 4.0406
Li 4.6255 5.1258 0.0000
Cd 2.2728 7.0221 4.1675
Ga 2.3335 0.6489 0.0000
Li 2.5279 5.7271 1.5051
Li 2.3142 3.1940 0.0000
Li 4.6062 7.6710 2.7137
Li 3.6643 9.2381 5.2492
```

=====

(3)
Computed, not measured: SrGe12Pb2O27 after structural relaxation at the PBE level of DFT.

Calculated values
Final energy = -0.23532 hartree per atom
Calculated volume = 558 Å³/f.u.
E_form (uncorrected) = -1.68 eV/atom
D(E_F) = 0.00 states/eV/f.u.
Symmetry = No. 5

The structure in extended XYZ format:
```
42
Lattice="11.5493 -0.0008 -0.0043 5.7704 10.0044 -0.0043 0.0033 0.0019 4.8318" Properties=species:S:1:pos:R:3 pbc="T T T"
Ge 9.4720 0.0078 2.4119
Ge 6.8861 5.0936 2.8994
O 11.4082 8.2001 0.5825
Ge 12.5832 1.8048 2.4113
O 11.3575 1.5522 3.6814
O 10.2295 7.4967 3.2300
Ge 12.5172 8.5035 1.9276
Ge 11.5449 6.6644 4.3062
Ge 3.7025 3.4123 2.8957
O 11.6925 10.0013 2.4134
O 1.4307 0.6112 1.1452
O 7.2036 9.3994 3.6788
O 12.1355 3.2516 1.4214
Ge 6.8140 8.2015 2.4116
Pb 3.7366 0.0056 4.8238
O 8.4424 1.1185 3.4018
O 8.2788 7.8405 1.4155
Ge 11.5459 0.0127 4.8275
O 7.1888 3.9907 4.2479
O 14.2008 8.9092 1.4210
O 5.7177 4.8908 1.5933
O 2.8172 4.8751 2.4099
O 10.2740 5.7727 0.5754
O 12.9271 7.3886 3.2346
O 11.4849 5.0984 3.2435
O 2.5097 2.1566 3.4022
O 4.5195 4.2213 4.2408
O 7.1679 2.6049 1.5797
O 12.9370 6.0172 0.5893
O 8.6012 5.1071 2.4117
Ge 5.7813 3.3355 0.5171
O 16.0787 9.0716 3.6780
O 4.4634 2.5000 1.5887
Sr 9.6609 3.2762 4.8274
Pb 15.4508 6.7717 -0.0007
O 6.3948 6.7522 3.4078
O 10.3032 0.9433 1.1418
Ge 9.4700 6.5860 1.9239
O 5.6463 1.8063 4.2340
Ge 12.6537 4.9025 1.9335
Ge 6.7535 1.4946 2.8898
O 5.5817 8.4626 1.1445
```

=====

(4)
Computed, not measured: ScTcAg2 after structural relaxation at the PBE level of DFT.

Calculated values
Final energy = -0.19747 hartree per atom
Energy of formation from the pure elements = 227 meV/atom
Calculated volume = 72 Å³/f.u.
D(E_F) = 3.89 states/eV/f.u.
Symmetry = No. 160

The structure in extended XYZ format:
```
4
Lattice="9.4377 -0.0224 -0.0131 8.9685 2.9388 -0.0131 8.9685 1.4211 2.5725" Properties=species:S:1:pos:R:3 pbc="T T T"
Ag 0.0620 0.0098 0.0058
Sc 13.5550 2.1478 1.2608
Ag 6.8386 1.0836 0.6361
Tc 20.6066 3.2651 1.9167
```

=====

(5)
Computed, not measured: PmHo2Sc2 after structural relaxation at the PBE level of DFT.

Calculated values
Final energy = -0.19345 hartree per atom
Energy of formation from the pure elements = 50 meV/atom
Calculated volume = 144 Å³/f.u.
D(E_F) = 7.76 states/eV/f.u.
Symmetry = No. 71

The structure in extended XYZ format:
```
10
Lattice="4.6026 0.0000 -1.2444 0.9493 5.9254 3.5111 1.2947 5.8271 13.9228" Properties=species:S:1:pos:R:3 pbc="T T T"
Sc 3.6418 5.0065 4.3361
Ho 5.3691 9.1057 10.7248
Sc 3.2047 6.7460 11.8535
Pm 4.8398 1.4814 -0.3666
Pm 0.7120 4.4441 2.6333
Ho 4.8944 6.1430 8.9693
Sc 3.6794 9.7087 13.6091
Sc 3.1671 2.0437 2.5805
Ho 1.9522 5.6095 7.2203
Ho 1.4774 2.6468 5.4648
```

=====

(6)
Computed, not measured: PmPrGaPt after structural relaxation at the PBE level of DFT.

Calculated values
Final energy = -0.19753 hartree per atom
Energy of formation from the pure elements = -726 meV/atom
Calculated volume = 99 Å³/f.u.
D(E_F) = 3.72 states/eV/f.u.
Symmetry = No. 216

The structure in extended XYZ format:
```
4
Lattice="5.1854 0.0000 0.0000 2.5927 4.4907 0.0000 2.5927 1.4969 4.2339" Properties=species:S:1:pos:R:3 pbc="T T T"
Pr 0.0000 0.0000 0.0000
Pt 2.5927 1.4969 1.0585
Ga 7.7781 4.4907 3.1754
Pm 5.1854 2.9938 2.1169
```

=====

(7)
Computed, not measured: Pr2Ge3PtRh4 after structural relaxation at the PBE level of DFT.

Calculated values
Final energy = -0.24550 hartree per atom
Energy of formation from the pure elements = -795 meV/atom
Calculated volume = 188 Å³/f.u.
D(E_F) = 7.26 states/eV/f.u.
Symmetry = No. 115

The structure in extended XYZ format:
```
10
Lattice="-2.5292 3.1506 1.3079 -2.6007 -2.8345 1.7988 5.4308 0.6650 8.8999" Properties=species:S:1:pos:R:3 pbc="T T T"
Ge 2.7154 0.3325 4.4500
Rh -2.5649 0.1581 1.5533
Ge 3.4900 2.1575 8.4456
Rh 0.0000 0.0000 0.0000
Pr 2.7526 -0.9209 7.5413
Rh 0.6333 -1.1804 4.0682
Pt 0.1505 0.4906 6.0033
Ge -0.6241 -1.3344 2.0076
Rh 2.2326 2.0035 6.3850
Pr 0.1133 1.7440 2.9119
```

=====

(8)
Computed, not measured: Ac2Pm2Y7 after structural relaxation at the PBE level of DFT.

Calculated values
Final energy = -0.20400 hartree per atom
Energy of formation from the pure elements = 173 meV/atom
Calculated volume = 392 Å³/f.u.
D(E_F) = 19.09 states/eV/f.u.
Symmetry = No. 12

The structure in extended XYZ format:
```
11
Lattice="5.6385 1.5180 2.1905 1.1860 8.5188 1.9599 1.1860 -1.1565 8.6645" Properties=species:S:1:pos:R:3 pbc="T T T"
Y 6.2207 8.7568 7.1479
Pm 6.8973 6.9317 10.0030
Pm 1.1132 1.9486 2.8119
Y 1.7898 0.1235 5.6671
Y 3.1023 3.5414 5.1105
Y 1.7898 5.2628 2.1057
Y 0.0000 0.0000 0.0000
Y 6.2207 3.6175 10.7092
Y 4.9082 5.3389 7.7044
Ac 4.0052 1.6614 8.3330
Ac 4.0052 7.2189 4.4819
```

=====

Which of these has the highest calculated volume?
SrGe12Pb2O27

=====

What is the D(E_F) in the first record?
4.19 states/eV/f.u.

=====

The lowest D(E_F) belongs to which entry?
SrGe12Pb2O27